Density functional theory data (GGA-PBE) for an optimized crystal structure of ScTa2CoRe.

a = 4.671 Å, b = 4.489 Å, c = 4.671 Å
α = 90.00°, β = 90.00°, γ = 90.00°
Sites, in units of the cell vectors:
Sc  0.000  0.000  0.000
Ta  0.000  0.000  0.500
Ta  0.500  0.000  0.000
Re  0.000  0.500  0.000
Co  0.500  0.500  0.500

Output
Its formation enthalpy at 0 K is 2.32 eV/atom.